Computed, not measured: a relaxed structure of MgTlSe2 at the PBE level of DFT.

Calculated values
symmetry = I-4m2 (119)
calculated total energy = -3.161 eV per atom
N(E_F) = 0.27 states/eV per cell
raw formation energy = -1.71 eV/f.u.
total magnetic moment = 0.0 μB per formula unit

Cell: 8.430 8.430 8.430 Å, 153.13 153.13 38.37°
Sites, in units of the cell vectors:
Mg1 0.000 0.000 0.000
Tl1 0.750 0.250 0.500
Se1 0.250 0.750 0.500
Se2 0.500 0.500 0.000